No. 1
Entry from Alexandria via LeMat-Bulk: a relaxed structure of Nd4Zn2Pb (GGA-PBE).

Output
DOS at the Fermi energy in states/eV per cell: 8.6
Space group: No. 166
Electronic total energy in eV per atom: -3.844
Crystal system: trigonal
Density in g/cm³: 7.488

Cell and atoms, written as POSCAR:
```
Nd4Zn2Pb
1.0
2.624 1.515 8.506
-2.624 1.515 8.506
0.000 -3.030 8.506
Nd Zn Pb
4 2 1
Direct
0.114 0.114 0.114 Nd
0.367 0.367 0.367 Nd
0.633 0.633 0.633 Nd
0.886 0.886 0.886 Nd
0.248 0.248 0.248 Zn
0.752 0.752 0.752 Zn
0.500 0.500 0.500 Pb
```

=====

No. 2
Entry from Alexandria via LeMat-Bulk: a relaxed structure of NdZnPb (GGA-PBE).

Output
DOS at the Fermi energy in states/eV per cell: 3.2
Space group: No. 44
Electronic total energy in eV per atom: -3.630
Crystal system: orthorhombic
Density in g/cm³: 8.898

Cell and atoms, written as POSCAR:
```
NdZnPb
1.0
-2.345 4.461 3.718
2.345 -4.461 3.718
2.345 4.461 -3.718
Nd Zn Pb
2 2 2
Direct
0.000 0.000 0.000 Nd
0.496 0.496 0.000 Nd
0.601 0.245 0.356 Zn
0.889 0.245 0.644 Zn
0.065 0.749 0.316 Pb
0.432 0.749 0.684 Pb
```

=====

No. 3
Entry from Alexandria via LeMat-Bulk: a relaxed structure of Nd4ZnPb (GGA-PBE).

Output
DOS at the Fermi energy in states/eV per cell: 8.7
Space group: No. 123
Electronic total energy in eV per atom: -4.116
Crystal system: tetragonal
Density in g/cm³: 6.954

Cell and atoms, written as POSCAR:
```
Nd4ZnPb
1.0
5.224 0.000 0.000
0.000 5.224 0.000
0.000 0.000 7.434
Nd Zn Pb
4 1 1
Direct
0.000 0.500 0.229 Nd
0.000 0.500 0.771 Nd
0.500 0.000 0.229 Nd
0.500 0.000 0.771 Nd
0.000 0.000 0.000 Zn
0.500 0.500 0.500 Pb
```

=====

No. 4
Entry from Alexandria via LeMat-Bulk: a relaxed structure of NdZnPb (GGA-PBE).

Output
DOS at the Fermi energy in states/eV per cell: 3.4
Space group: No. 107
Electronic total energy in eV per atom: -3.364
Crystal system: tetragonal
Density in g/cm³: 8.250

Cell and atoms, written as POSCAR:
```
NdZnPb
1.0
-2.145 2.145 4.560
2.145 -2.145 4.560
2.145 2.145 -4.560
Nd Zn Pb
1 1 1
Direct
0.000 0.000 0.000 Nd
0.336 0.336 0.000 Zn
0.655 0.655 0.000 Pb
```

=====

Number 1: formation energy -1.58 eV per formula unit. Number 2: formation energy -1.14 eV per formula unit. Number 3: formation energy -0.65 eV per formula unit. Number 4: formation energy -0.34 eV per formula unit.